Compound: LiFe2B2O6
Source: Alexandria
Functional: PBE+U
Structure: relaxed

Calculated values
- ΔE to the lowest computed polymorph (meV per atom) = 26.7
- size of the total moment (μB per cell) = 18.0

a b c (Å): 5.2218 5.2172 10.2147
angles (deg): 90.35 90.69 119.05
Closest atoms and distances in Å follow each position.
Positions (direct):
Fe 0.0091 0.6716 0.3677  4 O 1.90-1.95
O 0.3267 0.2568 0.6314  1 B 1.37
O 0.2526 0.3407 0.1021  1 B 1.36
O 0.5997 0.9970 0.6585  1 B 1.40
O 0.2512 0.9113 0.9089  1 B 1.38
O 0.7321 0.6408 0.8596  1 B 1.37
B 0.9950 0.3391 0.1244  3 O 1.36-1.42
Fe 0.9997 0.3290 0.6348  5 O 1.92-2.07
B 0.6700 0.0069 0.3952  3 O 1.37-1.41
B 0.3386 0.9997 0.6302  3 O 1.37-1.40
O 0.0883 0.7341 0.5986  1 B 1.40
O 0.7297 0.1095 0.0851  1 B 1.37
O 0.9988 0.5871 0.1842  1 B 1.42
O 0.7107 0.7680 0.4079  1 B 1.37
Fe 0.6783 0.9881 0.8889  4 O 1.99-2.16
O 0.4091 0.9866 0.3533  1 B 1.38
Li 0.3425 0.3408 0.9138  4 O 1.96-2.05
Li 0.6607 0.6581 0.6066  4 O 1.99-2.10
B 0.0029 0.6608 0.8677  3 O 1.37-1.43
O 0.8992 0.2837 0.4367  1 B 1.41
O 0.0268 0.4090 0.8284  1 B 1.43
Fe 0.3191 0.0072 0.1349  3 O 1.96-2.08